1.
Computed, not measured: a relaxed CsPrPt crystal at the PBE level of DFT.

Cell: 5.252 5.252 5.252 Å, 60.00 60.00 60.00°
Atoms (fractional coordinates):
Cs  0.250  0.250  0.250
Pr  0.750  0.750  0.750
Pt  0.000  0.000  0.000

* space group: No. 216
* uncorrected energy: -3.869 eV per atom
* volume: 34.146 Å³ per atom

---

2.
Computed, not measured: a relaxed Ta7Re5 crystal at the PBE level of DFT.

Cell: 5.279 5.279 17.220 Å, 90.00 90.00 120.00°
Atoms (fractional coordinates):
Re  0.500  0.000  0.000
Re  0.000  0.500  0.000
Re  0.500  0.500  0.000
Re  0.667  0.333  0.154
Re  0.667  0.333  0.346
Re  0.500  0.000  0.500
Re  0.000  0.500  0.500
Re  0.500  0.500  0.500
Re  0.333  0.667  0.654
Re  0.333  0.667  0.846
Ta  0.000  0.000  0.091
Ta  0.333  0.667  0.119
Ta  0.164  0.328  0.250
Ta  0.164  0.836  0.250
Ta  0.672  0.836  0.250
Ta  0.333  0.667  0.381
Ta  0.000  0.000  0.409
Ta  0.000  0.000  0.591
Ta  0.667  0.333  0.619
Ta  0.328  0.164  0.750
Ta  0.836  0.164  0.750
Ta  0.836  0.672  0.750
Ta  0.667  0.333  0.881
Ta  0.000  0.000  0.909

* excess energy over the best structure of this formula in the dataset: 0.2721 eV per atom
* space group: No. 194
* uncorrected energy: -11.886 eV per atom
* E_form: 0.204 eV/atom
* volume: 17.314 Å³ per atom